Arrangement one

This record from Alexandria describes an optimized crystal structure of NaIN2F. The functional is GGA-PBEsol.

a = 4.705 Å, b = 4.705 Å, c = 3.971 Å
α = 90.00°, β = 90.00°, γ = 90.00°
Sites, in units of the cell vectors:
Na1 0.000 0.000 0.000
I1 0.500 0.500 0.500
N1 0.000 0.500 0.000
N2 0.500 0.000 0.000
F1 0.000 0.000 0.500

Output
Total magnetization (μB per formula unit): 4.80

Arrangement two

This record from Alexandria describes an optimized crystal structure of NaIN2F. The functional is GGA-PBEsol.

a = 4.017 Å, b = 4.017 Å, c = 4.706 Å
α = 90.00°, β = 90.00°, γ = 90.00°
Sites, in units of the cell vectors:
Na1 0.000 0.000 0.000
I1 0.500 0.500 0.500
N1 0.000 0.500 0.500
N2 0.500 0.000 0.500
F1 0.500 0.500 0.000

Output
Total magnetization (μB per formula unit): 0.00

The most stable structure shown above is arrangement two; the least stable is arrangement one.